(1)
DFT (GGA-PBE) results for RbTe3PdAu after structural relaxation.

a = 4.1111 Å, b = 16.2499 Å, c = 11.3446 Å
α = 90.00°, β = 90.00°, γ = 90.00°
With the nearest neighbours (Å) after each atom.
Space group Cmcm (No. 63)
Symmetry-distinct sites (fractional):
Rb (0.0000, 0.2492, 0.2500) [4 per cell]  2 Au 3.54, 4 Te 3.80-3.85
Te (0.0000, 0.1093, 0.5188) [8 per cell]  1 Au 2.69, 2 Pd 2.72
Te (0.0000, 0.4511, 0.7500) [4 per cell]  2 Au 2.86, 2 Pd 2.95
Pd (0.0000, 0.5000, 0.0000) [4 per cell]  6 Te 2.72-2.95
Au (0.0000, 0.0736, 0.7500) [4 per cell]  4 Te 2.69-2.86

- Calculated volume: 757.9 Å³/cell
- Final energy: -3.487 eV/atom

***

(2)
DFT (GGA-PBE) results for RePdAu after structural relaxation.

a = 6.0154 Å, b = 6.0154 Å, c = 6.0154 Å
α = 90.00°, β = 90.00°, γ = 90.00°
With the nearest neighbours (Å) after each atom.
Space group F-43m (No. 216)
Symmetry-distinct sites (fractional):
Re (0.0000, 0.0000, 0.0000) [4 per cell]  4 Pd 2.60
Pd (0.2500, 0.2500, 0.7500) [4 per cell]  4 Au 2.60, 4 Re 2.60
Au (0.0000, 0.0000, 0.5000) [4 per cell]  4 Pd 2.60

- E_form: 907 meV/atom
- Calculated volume: 217.7 Å³/cell
- ΔE to the lowest computed polymorph: 0.000 eV per atom

***

(3)
DFT (GGA-PBE) results for RePd2Au after structural relaxation.

a = 6.3058 Å, b = 6.3058 Å, c = 6.3058 Å
α = 90.00°, β = 90.00°, γ = 90.00°
With the nearest neighbours (Å) after each atom.
Space group F-43m (No. 216)
Symmetry-distinct sites (fractional):
Re (0.0000, 0.0000, 0.0000) [4 per cell]  4 Pd 2.73, 4 Au 2.73
Pd (0.0000, 0.0000, 0.5000) [4 per cell]  4 Pd 2.73, 4 Au 2.73
Pd (0.2500, 0.2500, 0.7500) [4 per cell]  4 Re 2.73, 4 Pd 2.73
Au (0.2500, 0.2500, 0.2500) [4 per cell]  4 Re 2.73, 4 Pd 2.73

- E_form: 430 meV/atom
- Calculated volume: 250.7 Å³/cell

***

(4)
DFT (GGA-PBE) results for TlTe2PdAuS after structural relaxation.

a = 4.1069 Å, b = 12.4372 Å, c = 11.6294 Å
α = 90.00°, β = 90.00°, γ = 90.00°
With the nearest neighbours (Å) after each atom.
Space group Cmcm (No. 63)
Symmetry-distinct sites (fractional):
Tl (0.0000, 0.1895, 0.2500) [4 per cell]  2 S 3.01, 2 Au 3.04, 2 Te 3.22
Te (0.0000, 0.1370, 0.5207) [8 per cell]  1 Au 2.67, 2 Pd 2.68
Pd (0.0000, 0.5000, 0.0000) [4 per cell]  4 Te 2.68, 2 S 2.91
Au (0.0000, 0.1307, 0.7500) [4 per cell]  2 Te 2.67, 2 S 2.72
S (0.0000, 0.4872, 0.7500) [4 per cell]  2 Au 2.72, 2 Pd 2.91, 2 Tl 3.01

- Calculated volume: 594.0 Å³/cell
- Final energy: -3.668 eV/atom